! Cu3Ag7 (GGA-PBE, relaxed); values from VASP
&SYSTEM
  ibrav = 0, nat = 10, ntyp = 2
/
ATOMIC_SPECIES
Cu 63.55 Cu.upf
Ag 107.87 Ag.upf
ATOMIC_POSITIONS crystal
Cu 0.0000 0.0000 0.0000
Cu 0.0864 0.5000 0.8249
Cu 0.4589 0.5000 0.0054
Ag 0.1828 0.0000 0.6249
Ag 0.2794 0.5000 0.4092
Ag 0.3765 0.0000 0.1964
Ag 0.5887 0.0000 0.8258
Ag 0.6858 0.5000 0.6184
Ag 0.7812 0.0000 0.4057
Ag 0.8746 0.5000 0.1886
CELL_PARAMETERS angstrom
4.9573 0.0000 0.0000
0.0000 2.8741 0.0000
-1.5752 0.0000 11.4606
! Energy = -3.0211 eV per atom
! E above lowest polymorph = 42.1 meV per atom
! Volume = 16.329 A^3/atom
! Formation energy from the elements = 0.0710 eV/atom


! Cu3Ag2 (GGA-PBE, relaxed); values from VASP
&SYSTEM
  ibrav = 0, nat = 10, ntyp = 2
/
ATOMIC_SPECIES
Cu 63.55 Cu.upf
Ag 107.87 Ag.upf
ATOMIC_POSITIONS crystal
Cu 0.0000 0.0000 0.0000
Cu 0.0968 0.9032 0.5000
Cu 0.4088 0.5912 0.0000
Cu 0.5991 0.4009 0.0000
Cu 0.8177 0.1823 0.0000
Cu 0.9093 0.0907 0.5000
Ag 0.1975 0.8025 0.0000
Ag 0.3103 0.6897 0.5000
Ag 0.5072 0.4928 0.5000
Ag 0.7074 0.2926 0.5000
CELL_PARAMETERS angstrom
2.3348 -6.9522 0.0000
2.3348 6.9522 0.0000
-1.3896 0.0000 4.4207
! Energy = -3.2572 eV per atom
! E above lowest polymorph = 60.8 meV per atom
! Volume = 14.352 A^3/atom
! Formation energy from the elements = 0.1027 eV/atom


! Cu4Ag5 (GGA-PBE, relaxed); values from VASP
&SYSTEM
  ibrav = 0, nat = 9, ntyp = 2
/
ATOMIC_SPECIES
Cu 63.55 Cu.upf
Ag 107.87 Ag.upf
ATOMIC_POSITIONS crystal
Cu 0.0000 0.0000 0.0000
Cu 0.1181 0.2150 0.5985
Cu 0.3236 0.6853 0.6956
Cu 0.5383 0.1087 0.8016
Ag 0.2091 0.4450 0.1268
Ag 0.4447 0.9010 0.2382
Ag 0.6541 0.3405 0.3801
Ag 0.7700 0.5465 0.9018
Ag 0.8955 0.7903 0.4732
CELL_PARAMETERS angstrom
4.8217 0.0000 0.0000
0.7971 4.7897 0.0000
1.5265 0.4224 5.9788
! Energy = -3.1275 eV per atom
! E above lowest polymorph = 55.7 meV per atom
! Volume = 15.342 A^3/atom
! Formation energy from the elements = 0.0936 eV/atom


! Cu3Ag2 (GGA-PBE, relaxed); values from VASP
&SYSTEM
  ibrav = 0, nat = 10, ntyp = 2
/
ATOMIC_SPECIES
Cu 63.55 Cu.upf
Ag 107.87 Ag.upf
ATOMIC_POSITIONS crystal
Cu 0.0000 0.0000 0.0000
Cu 0.0084 0.0084 0.5298
Cu 0.2006 0.2006 0.1136
Cu 0.4170 0.4170 0.2339
Cu 0.5989 0.5989 0.8242
Cu 0.8013 0.8013 0.3979
Ag 0.2035 0.2035 0.6230
Ag 0.4036 0.4036 0.6936
Ag 0.5973 0.5973 0.2987
Ag 0.8096 0.8096 0.9516
CELL_PARAMETERS angstrom
9.1247 -1.3951 0.0000
9.1247 1.3951 0.0000
-0.9189 0.0000 5.6517
! Energy = -3.2563 eV per atom
! E above lowest polymorph = 61.6 meV per atom
! Volume = 14.389 A^3/atom
! Formation energy from the elements = 0.1036 eV/atom


! CuAg (GGA-PBE, relaxed); values from VASP
&SYSTEM
  ibrav = 0, nat = 10, ntyp = 2
/
ATOMIC_SPECIES
Cu 63.55 Cu.upf
Ag 107.87 Ag.upf
ATOMIC_POSITIONS crystal
Cu 0.0000 0.0000 0.0000
Cu 0.2045 0.7955 0.0000
Cu 0.2922 0.7078 0.5000
Cu 0.7078 0.2922 0.5000
Cu 0.7955 0.2045 0.0000
Ag 0.1060 0.8940 0.5000
Ag 0.3925 0.6075 0.0000
Ag 0.5000 0.5000 0.5000
Ag 0.6075 0.3925 0.0000
Ag 0.8940 0.1060 0.5000
CELL_PARAMETERS angstrom
2.3512 -7.0712 0.0000
2.3512 7.0712 0.0000
-1.3529 0.0000 4.4988
! Energy = -3.1716 eV per atom
! Volume = 14.959 A^3/atom
! Formation energy from the elements = 0.0990 eV/atom


! Cu2Ag7 (GGA-PBE, relaxed); values from VASP
&SYSTEM
  ibrav = 0, nat = 9, ntyp = 2
/
ATOMIC_SPECIES
Cu 63.55 Cu.upf
Ag 107.87 Ag.upf
ATOMIC_POSITIONS crystal
Cu 0.0009 0.0009 0.1663
Cu 0.9991 0.9991 0.8337
Ag 0.0000 0.0000 0.5000
Ag 0.3358 0.3358 0.6186
Ag 0.3371 0.3371 0.2697
Ag 0.3455 0.3455 0.9497
Ag 0.6545 0.6545 0.0503
Ag 0.6629 0.6629 0.7303
Ag 0.6642 0.6642 0.3814
CELL_PARAMETERS angstrom
6.1145 -1.4368 0.0000
6.1145 1.4368 0.0000
-2.1121 0.0000 8.5002
! Energy = -2.9665 eV per atom
! E above lowest polymorph = 29.7 meV per atom
! Volume = 16.595 A^3/atom
! Formation energy from the elements = 0.0561 eV/atom


! CuAg (GGA-PBE, relaxed); values from VASP
&SYSTEM
  ibrav = 0, nat = 10, ntyp = 2
/
ATOMIC_SPECIES
Cu 63.55 Cu.upf
Ag 107.87 Ag.upf
ATOMIC_POSITIONS crystal
Cu 0.0000 0.0000 0.0000
Cu 0.0000 0.0000 0.1738
Cu 0.0000 0.0000 0.5994
Cu 0.5000 0.5000 0.0859
Cu 0.5000 0.5000 0.9122
Ag 0.0000 0.0000 0.3865
Ag 0.0000 0.0000 0.8128
Ag 0.5000 0.5000 0.2728
Ag 0.5000 0.5000 0.4997
Ag 0.5000 0.5000 0.6996
CELL_PARAMETERS angstrom
2.7854 0.0000 0.0000
0.0000 3.7708 0.0000
0.0000 0.0000 14.0528
! Energy = -3.1834 eV per atom
! Volume = 14.760 A^3/atom
! Formation energy from the elements = 0.0872 eV/atom


! CuAg (GGA-PBE, relaxed); values from VASP
&SYSTEM
  ibrav = 0, nat = 12, ntyp = 2
/
ATOMIC_SPECIES
Cu 63.55 Cu.upf
Ag 107.87 Ag.upf
ATOMIC_POSITIONS crystal
Cu 0.2500 0.2500 0.0339
Cu 0.2500 0.2500 0.1689
Cu 0.2500 0.2500 0.8990
Cu 0.7500 0.7500 0.1010
Cu 0.7500 0.7500 0.8311
Cu 0.7500 0.7500 0.9661
Ag 0.2500 0.2500 0.3520
Ag 0.2500 0.2500 0.5493
Ag 0.2500 0.2500 0.7470
Ag 0.7500 0.7500 0.2530
Ag 0.7500 0.7500 0.4507
Ag 0.7500 0.7500 0.6480
CELL_PARAMETERS angstrom
2.8145 0.0000 0.0000
0.0000 2.8145 0.0000
0.0000 0.0000 22.2846
! Energy = -3.2313 eV per atom
! Volume = 14.710 A^3/atom
! Formation energy from the elements = 0.0393 eV/atom


! CuAg (GGA-PBE, relaxed); values from VASP
&SYSTEM
  ibrav = 0, nat = 16, ntyp = 2
/
ATOMIC_SPECIES
Cu 63.55 Cu.upf
Ag 107.87 Ag.upf
ATOMIC_POSITIONS crystal
Cu 0.0000 0.0000 0.0000
Cu 0.0037 0.5000 0.2388
Cu 0.2328 0.0000 0.3519
Cu 0.4665 0.5000 0.4531
Cu 0.5000 0.5000 0.0000
Cu 0.5037 0.0000 0.2388
Cu 0.7328 0.5000 0.3519
Cu 0.9665 0.0000 0.4531
Ag 0.2184 0.5000 0.5832
Ag 0.2476 0.0000 0.8637
Ag 0.2531 0.5000 0.1226
Ag 0.4833 0.0000 0.7254
Ag 0.7184 0.0000 0.5832
Ag 0.7476 0.5000 0.8637
Ag 0.7531 0.0000 0.1226
Ag 0.9833 0.5000 0.7254
CELL_PARAMETERS angstrom
9.1893 0.0000 0.0000
0.0000 2.8242 0.0000
-2.1848 0.0000 9.2083
! Energy = -3.1813 eV per atom
! Volume = 14.936 A^3/atom
! Formation energy from the elements = 0.0893 eV/atom


! Cu2Ag5 (GGA-PBE, relaxed); values from VASP
&SYSTEM
  ibrav = 0, nat = 14, ntyp = 2
/
ATOMIC_SPECIES
Cu 63.55 Cu.upf
Ag 107.87 Ag.upf
ATOMIC_POSITIONS crystal
Cu 0.2126 0.0000 0.1208
Cu 0.2874 0.5000 0.8792
Cu 0.7126 0.5000 0.1208
Cu 0.7874 0.0000 0.8792
Ag 0.0000 0.5000 0.0000
Ag 0.0851 0.0000 0.7141
Ag 0.1446 0.5000 0.4035
Ag 0.3554 0.0000 0.5965
Ag 0.4149 0.5000 0.2859
Ag 0.5000 0.0000 0.0000
Ag 0.5851 0.5000 0.7141
Ag 0.6446 0.0000 0.4035
Ag 0.8554 0.5000 0.5965
Ag 0.9149 0.0000 0.2859
CELL_PARAMETERS angstrom
11.8260 0.0000 0.0000
0.0000 2.8823 0.0000
-2.2304 0.0000 6.6452
! Energy = -3.0144 eV per atom
! E above lowest polymorph = 29.5 meV per atom
! Volume = 16.179 A^3/atom
! Formation energy from the elements = 0.0650 eV/atom


! CuAg (GGA-PBE, relaxed); values from VASP
&SYSTEM
  ibrav = 0, nat = 4, ntyp = 2
/
ATOMIC_SPECIES
Cu 63.55 Cu.upf
Ag 107.87 Ag.upf
ATOMIC_POSITIONS crystal
Cu 0.2500 0.2500 0.1103
Cu 0.7500 0.7500 0.8897
Ag 0.2500 0.2500 0.6435
Ag 0.7500 0.7500 0.3565
CELL_PARAMETERS angstrom
2.7871 0.0000 0.0000
0.0000 3.7648 0.0000
0.0000 0.0000 5.6208
! Energy = -3.1750 eV per atom
! Volume = 14.745 A^3/atom
! Formation energy from the elements = 0.0956 eV/atom


! Cu6Ag (GGA-PBE, relaxed); values from VASP
&SYSTEM
  ibrav = 0, nat = 14, ntyp = 2
/
ATOMIC_SPECIES
Cu 63.55 Cu.upf
Ag 107.87 Ag.upf
ATOMIC_POSITIONS crystal
Cu 0.0000 0.0000 0.0801
Cu 0.0000 0.0000 0.2161
Cu 0.0000 0.0000 0.3520
Cu 0.0000 0.0000 0.6480
Cu 0.0000 0.0000 0.7839
Cu 0.0000 0.0000 0.9199
Cu 0.5000 0.5000 0.1480
Cu 0.5000 0.5000 0.2839
Cu 0.5000 0.5000 0.4199
Cu 0.5000 0.5000 0.5801
Cu 0.5000 0.5000 0.7161
Cu 0.5000 0.5000 0.8520
Ag 0.0000 0.0000 0.5000
Ag 0.5000 0.5000 0.0000
CELL_PARAMETERS angstrom
2.6512 0.0000 0.0000
0.0000 2.6512 0.0000
0.0000 0.0000 25.1822
! Energy = -3.5423 eV per atom
! E above lowest polymorph = 1.1 meV per atom
! Volume = 12.643 A^3/atom
! Formation energy from the elements = 0.0471 eV/atom


! Cu4Ag5 (GGA-PBE, relaxed); values from VASP
&SYSTEM
  ibrav = 0, nat = 9, ntyp = 2
/
ATOMIC_SPECIES
Cu 63.55 Cu.upf
Ag 107.87 Ag.upf
ATOMIC_POSITIONS crystal
Cu 0.1734 0.1734 0.0203
Cu 0.2761 0.2761 0.6680
Cu 0.7239 0.7239 0.3320
Cu 0.8266 0.8266 0.9797
Ag 0.0678 0.0678 0.3481
Ag 0.3816 0.3816 0.3061
Ag 0.5000 0.5000 0.0000
Ag 0.6184 0.6184 0.6939
Ag 0.9322 0.9322 0.6519
CELL_PARAMETERS angstrom
7.0473 -1.4294 0.0000
7.0473 1.4294 0.0000
-4.0931 0.0000 6.8501
! Energy = -3.1228 eV per atom
! E above lowest polymorph = 60.3 meV per atom
! Volume = 15.334 A^3/atom
! Formation energy from the elements = 0.0982 eV/atom


! CuAg2 (GGA-PBE, relaxed); values from VASP
&SYSTEM
  ibrav = 0, nat = 9, ntyp = 2
/
ATOMIC_SPECIES
Cu 63.55 Cu.upf
Ag 107.87 Ag.upf
ATOMIC_POSITIONS crystal
Cu 0.0000 0.0000 0.0000
Cu 0.2293 0.2293 0.3531
Cu 0.7707 0.7707 0.6469
Ag 0.1131 0.1131 0.6670
Ag 0.3352 0.3352 0.9797
Ag 0.4388 0.4388 0.6806
Ag 0.5612 0.5612 0.3194
Ag 0.6648 0.6648 0.0203
Ag 0.8869 0.8869 0.3330
CELL_PARAMETERS angstrom
7.1526 -1.4521 0.0000
7.1526 1.4521 0.0000
-4.1718 0.0000 6.9094
! Energy = -3.0563 eV per atom
! E above lowest polymorph = 34.6 meV per atom
! Volume = 15.947 A^3/atom
! Formation energy from the elements = 0.0655 eV/atom


! Cu3Ag2 (GGA-PBE, relaxed); values from VASP
&SYSTEM
  ibrav = 0, nat = 10, ntyp = 2
/
ATOMIC_SPECIES
Cu 63.55 Cu.upf
Ag 107.87 Ag.upf
ATOMIC_POSITIONS crystal
Cu 0.2500 0.2500 0.0411
Cu 0.2500 0.2500 0.4568
Cu 0.2500 0.2500 0.6271
Cu 0.7500 0.7500 0.3729
Cu 0.7500 0.7500 0.5432
Cu 0.7500 0.7500 0.9589
Ag 0.2500 0.2500 0.2695
Ag 0.2500 0.2500 0.8541
Ag 0.7500 0.7500 0.1459
Ag 0.7500 0.7500 0.7305
CELL_PARAMETERS angstrom
2.8144 0.0000 0.0000
0.0000 3.4372 0.0000
0.0000 0.0000 14.8031
! Energy = -3.2865 eV per atom
! E above lowest polymorph = 31.4 meV per atom
! Volume = 14.320 A^3/atom
! Formation energy from the elements = 0.0734 eV/atom


! CuAg5 (GGA-PBE, relaxed); values from VASP
&SYSTEM
  ibrav = 0, nat = 12, ntyp = 2
/
ATOMIC_SPECIES
Cu 63.55 Cu.upf
Ag 107.87 Ag.upf
ATOMIC_POSITIONS crystal
Cu 0.0000 0.0000 0.0000
Cu 0.5000 0.5000 0.0000
Ag 0.0000 0.0000 0.5000
Ag 0.1619 0.5000 0.8404
Ag 0.1647 0.5000 0.3214
Ag 0.3353 0.0000 0.6786
Ag 0.3381 0.0000 0.1596
Ag 0.5000 0.5000 0.5000
Ag 0.6619 0.0000 0.8404
Ag 0.6647 0.0000 0.3214
Ag 0.8353 0.5000 0.6786
Ag 0.8381 0.5000 0.1596
CELL_PARAMETERS angstrom
9.5609 0.0000 0.0000
0.0000 2.8996 0.0000
-3.3567 0.0000 7.3201
! Energy = -2.9260 eV per atom
! E above lowest polymorph = 14.2 meV per atom
! Volume = 16.911 A^3/atom
! Formation energy from the elements = 0.0471 eV/atom


! Cu4Ag5 (GGA-PBE, relaxed); values from VASP
&SYSTEM
  ibrav = 0, nat = 9, ntyp = 2
/
ATOMIC_SPECIES
Cu 63.55 Cu.upf
Ag 107.87 Ag.upf
ATOMIC_POSITIONS crystal
Cu 0.1553 0.1553 0.2334
Cu 0.1957 0.1957 0.5672
Cu 0.8043 0.8043 0.4328
Cu 0.8447 0.8447 0.7666
Ag 0.1739 0.1739 0.8748
Ag 0.5000 0.5000 0.0000
Ag 0.4998 0.4998 0.3601
Ag 0.5002 0.5002 0.6399
Ag 0.8261 0.8261 0.1252
CELL_PARAMETERS angstrom
4.7453 -1.4246 0.0000
4.7453 1.4246 0.0000
-4.2416 0.0000 10.1421
! Energy = -3.1426 eV per atom
! E above lowest polymorph = 40.5 meV per atom
! Volume = 15.236 A^3/atom
! Formation energy from the elements = 0.0784 eV/atom


! Cu3Ag2 (GGA-PBE, relaxed); values from VASP
&SYSTEM
  ibrav = 0, nat = 10, ntyp = 2
/
ATOMIC_SPECIES
Cu 63.55 Cu.upf
Ag 107.87 Ag.upf
ATOMIC_POSITIONS crystal
Cu 0.0000 0.0000 0.0000
Cu 0.0990 0.0990 0.0990
Cu 0.3033 0.3033 0.3033
Cu 0.5000 0.5000 0.5000
Cu 0.6967 0.6967 0.6967
Cu 0.9010 0.9010 0.9010
Ag 0.2004 0.2004 0.2004
Ag 0.3979 0.3979 0.3979
Ag 0.6021 0.6021 0.6021
Ag 0.7996 0.7996 0.7996
CELL_PARAMETERS angstrom
1.3923 0.8039 21.5642
-1.3923 0.8039 21.5642
0.0000 -1.6077 21.5642
! Energy = -3.2424 eV per atom
! E above lowest polymorph = 75.5 meV per atom
! Volume = 14.481 A^3/atom
! Formation energy from the elements = 0.1175 eV/atom


! Cu2Ag7 (GGA-PBE, relaxed); values from VASP
&SYSTEM
  ibrav = 0, nat = 9, ntyp = 2
/
ATOMIC_SPECIES
Cu 63.55 Cu.upf
Ag 107.87 Ag.upf
ATOMIC_POSITIONS crystal
Cu 0.2221 0.2221 0.3551
Cu 0.7779 0.7779 0.6449
Ag 0.0000 0.0000 0.0000
Ag 0.1220 0.1220 0.6796
Ag 0.3296 0.3296 0.9712
Ag 0.4417 0.4417 0.6564
Ag 0.5583 0.5583 0.3436
Ag 0.6704 0.6704 0.0288
Ag 0.8780 0.8780 0.3204
CELL_PARAMETERS angstrom
7.3483 -1.4482 0.0000
7.3483 1.4482 0.0000
-0.3675 0.0000 7.0293
! Energy = -2.9689 eV per atom
! E above lowest polymorph = 27.3 meV per atom
! Volume = 16.623 A^3/atom
! Formation energy from the elements = 0.0537 eV/atom


! CuAg (GGA-PBE, relaxed); values from VASP
&SYSTEM
  ibrav = 0, nat = 24, ntyp = 2
/
ATOMIC_SPECIES
Cu 63.55 Cu.upf
Ag 107.87 Ag.upf
ATOMIC_POSITIONS crystal
Cu 0.0000 0.0000 0.0000
Cu 0.0948 0.3448 0.7500
Cu 0.2581 0.9999 0.7418
Cu 0.2581 0.5163 0.2582
Cu 0.3367 0.3449 0.5085
Cu 0.3367 0.8282 0.9918
Cu 0.4999 0.9999 0.5000
Cu 0.5948 0.3448 0.2500
Cu 0.7582 0.9997 0.2416
Cu 0.7582 0.5166 0.7584
Cu 0.8364 0.3449 0.0082
Cu 0.8364 0.8282 0.4915
Ag 0.0471 0.1722 0.8749
Ag 0.0979 0.5058 0.5921
Ag 0.1814 0.8389 0.3425
Ag 0.2973 0.1722 0.1251
Ag 0.4136 0.5057 0.9079
Ag 0.4964 0.8389 0.6575
Ag 0.5476 0.1725 0.3751
Ag 0.5979 0.5057 0.0921
Ag 0.6808 0.8390 0.8418
Ag 0.7975 0.1725 0.6249
Ag 0.9136 0.5058 0.4079
Ag 0.9972 0.8390 0.1582
CELL_PARAMETERS angstrom
-2.5027 8.4152 4.3279
2.5027 -8.4152 4.3279
2.5027 8.4152 -4.3279
! Energy = -3.1614 eV per atom
! Volume = 15.191 A^3/atom
! Formation energy from the elements = 0.1092 eV/atom


! Cu3Ag2 (GGA-PBE, relaxed); values from VASP
&SYSTEM
  ibrav = 0, nat = 10, ntyp = 2
/
ATOMIC_SPECIES
Cu 63.55 Cu.upf
Ag 107.87 Ag.upf
ATOMIC_POSITIONS crystal
Cu 0.0000 0.0000 0.0000
Cu 0.0000 0.0000 0.2066
Cu 0.0000 0.0000 0.4147
Cu 0.0000 0.0000 0.5853
Cu 0.0000 0.0000 0.7934
Cu 0.5000 0.5000 0.5000
Ag 0.5000 0.5000 0.1033
Ag 0.5000 0.5000 0.3103
Ag 0.5000 0.5000 0.6897
Ag 0.5000 0.5000 0.8967
CELL_PARAMETERS angstrom
2.7557 0.0000 0.0000
0.0000 2.7557 0.0000
0.0000 0.0000 18.7529
! Energy = -3.2702 eV per atom
! E above lowest polymorph = 47.7 meV per atom
! Volume = 14.241 A^3/atom
! Formation energy from the elements = 0.0897 eV/atom


! Cu2Ag5 (GGA-PBE, relaxed); values from VASP
&SYSTEM
  ibrav = 0, nat = 14, ntyp = 2
/
ATOMIC_SPECIES
Cu 63.55 Cu.upf
Ag 107.87 Ag.upf
ATOMIC_POSITIONS crystal
Cu 0.0679 0.0000 0.2842
Cu 0.4321 0.5000 0.7158
Cu 0.5679 0.5000 0.2842
Cu 0.9321 0.0000 0.7158
Ag 0.0000 0.5000 0.0000
Ag 0.1381 0.5000 0.5648
Ag 0.2207 0.0000 0.8490
Ag 0.2793 0.5000 0.1510
Ag 0.3619 0.0000 0.4352
Ag 0.5000 0.0000 0.0000
Ag 0.6381 0.0000 0.5648
Ag 0.7207 0.5000 0.8490
Ag 0.7793 0.0000 0.1510
Ag 0.8619 0.5000 0.4352
CELL_PARAMETERS angstrom
9.4989 0.0000 0.0000
0.0000 2.8807 0.0000
-0.5709 0.0000 8.3589
! Energy = -3.0025 eV per atom
! E above lowest polymorph = 41.4 meV per atom
! Volume = 16.338 A^3/atom
! Formation energy from the elements = 0.0769 eV/atom


! Cu4Ag3 (GGA-PBE, relaxed); values from VASP
&SYSTEM
  ibrav = 0, nat = 14, ntyp = 2
/
ATOMIC_SPECIES
Cu 63.55 Cu.upf
Ag 107.87 Ag.upf
ATOMIC_POSITIONS crystal
Cu 0.0000 0.0000 0.0000
Cu 0.0639 0.5000 0.7398
Cu 0.1579 0.0000 0.5061
Cu 0.3639 0.5000 0.6064
Cu 0.5000 0.5000 0.0000
Cu 0.5639 0.0000 0.7398
Cu 0.6579 0.5000 0.5061
Cu 0.8639 0.0000 0.6064
Ag 0.2041 0.5000 0.2026
Ag 0.2846 0.0000 0.8948
Ag 0.4478 0.0000 0.3189
Ag 0.7041 0.0000 0.2026
Ag 0.7846 0.5000 0.8948
Ag 0.9478 0.5000 0.3189
CELL_PARAMETERS angstrom
11.0335 0.0000 0.0000
0.0000 2.8118 0.0000
-1.9380 0.0000 6.5271
! Energy = -3.2521 eV per atom
! E above lowest polymorph = 33.7 meV per atom
! Volume = 14.464 A^3/atom
! Formation energy from the elements = 0.0823 eV/atom